The following is a PBE-GGA calculation of a relaxed GaNi2H2 crystal, from the Alexandria database.

```
data_GaNi2H2
_chemical_formula_sum 'Ga2 Ni4 H4'
_symmetry_space_group_name_H-M 'P 4/m b m'
_symmetry_Int_Tables_number 127
_symmetry_space_group_name_Hall '-P 4 2ab'
_cell_length_a 6.0072
_cell_length_b 6.0072
_cell_length_c 2.6065
_cell_angle_alpha 90.00
_cell_angle_beta 90.00
_cell_angle_gamma 90.00
loop_
_atom_site_label
_atom_site_type_symbol
_atom_site_fract_x
_atom_site_fract_y
_atom_site_fract_z
_atom_site_occupancy
Ga1 Ga 0.0000 0.0000 0.0000 1
Ni1 Ni 0.2244 0.2756 0.5000 1
H1 H 0.1158 0.3842 0.0000 1
```

theoretical density	6.68	Mg/m³
uncorrected energy	-4.218	eV/atom
offset from the most stable computed form	174	meV per atom